(1)
Here is a relaxed structure of CdRuW2 from Alexandria. Energies are from GGA-PBE.

abc: 3.1582 3.1582 6.7808
angles: 90.00 90.00 90.00
Closest atoms and distances in Å follow each position.
Space group P4mm (No. 99)
Asymmetric unit:
Cd: 0.0000 0.0000 0.0000  4 Ru 2.91, 4 W 2.97, 4 Cd 3.16
Ru: 0.5000 0.5000 0.2759  4 W 2.64, 4 Cd 2.91
W: 0.0000 0.0000 0.4828  4 Ru 2.64, 4 W 2.72
W: 0.5000 0.5000 0.7122  4 W 2.72, 1 Ru 2.96, 4 Cd 2.97

Results
D(E_F), states/eV/atom: 1.054

(2)
Here is a relaxed structure of CdRuW2 from Alexandria. Energies are from GGA-PBE.

abc: 3.1813 4.5463 9.2210
angles: 90.00 90.00 90.00
Closest atoms and distances in Å follow each position.
Space group Cmm2 (No. 35)
Asymmetric unit:
Cd: 0.0000 0.0000 0.0000  4 Cd 2.77, 2 Ru 2.89, 2 W 2.98
Ru: 0.0000 0.5000 0.7382  2 W 2.62, 4 Ru 2.77, 2 Cd 2.89
W: 0.0000 0.0000 0.5123  2 Ru 2.62, 6 W 2.72-2.77
W: 0.0000 0.5000 0.2734  6 W 2.72-2.77, 2 Cd 2.98

Results
D(E_F), states/eV/atom: 0.842

For each record above, in turn, the calculated formation energy values are 0.392 0.315 eV per atom.
For each record above, in turn, the calculated raw total energy values are -8.6321 -8.7092 eV/atom.